# 1
## Ho2TcI (PBE)

Data for crystalline Ho2TcI at its relaxed geometry.

Computed properties:
The uncorrected formation energy comes out at -1.170 eV/f.u. Its density of states at the Fermi level is 7.00 states/eV per cell. The energy relative to the lowest polymorph listed for this composition comes out at 108 meV/atom.

```
data_Ho2TcI
_chemical_formula_sum 'Ho6 Tc3 I3'
_space_group_name_H-M_alt 'R -3 m'
_space_group_IT_number 166
_space_group_name_Hall '-R 3 2"'
_cell_length_a 3.7307
_cell_length_b 3.7307
_cell_length_c 26.2389
_cell_angle_alpha 90.00
_cell_angle_beta 90.00
_cell_angle_gamma 120.00
loop_
_atom_site_label
_atom_site_type_symbol
_atom_site_fract_x
_atom_site_fract_y
_atom_site_fract_z
Ho1 Ho 0.0000 0.0000 0.2366
Tc1 Tc 0.0000 0.0000 0.5000
I1 I 0.0000 0.0000 0.0000
```

***

# 2
## Ce3Y2TmS6 (PBE)

Data for crystalline Ce3Y2TmS6 at its relaxed geometry.

Computed properties:
The uncorrected formation energy comes out at -24.271 eV/f.u. Its density of states at the Fermi level is 32.14 states/eV per cell.

```
data_Ce3Y2TmS6
_chemical_formula_sum 'Ce6 Y4 Tm2 S12'
_space_group_name_H-M_alt 'C 1 2/m 1'
_space_group_IT_number 12
_space_group_name_Hall '-C 2y'
_cell_length_a 6.816
_cell_length_b 11.814
_cell_length_c 6.932
_cell_angle_alpha 90.00
_cell_angle_beta 109.17
_cell_angle_gamma 90.00
loop_
_atom_site_label
_atom_site_type_symbol
_atom_site_fract_x
_atom_site_fract_y
_atom_site_fract_z
Ce1 Ce 0.000 0.000 0.000
Ce2 Ce 0.000 0.332 0.000
Y1 Y 0.000 0.167 0.500
Tm1 Tm 0.000 0.500 0.500
S1 S 0.243 0.335 0.736
S2 S 0.250 0.000 0.738
```

***

# 3
## YZr2Tc (PBE)

Data for crystalline YZr2Tc at its relaxed geometry.

Computed properties:
The value obtained for the calculated formation energy is -0.102 eV/atom. Its density of states at the Fermi level is 12.88 states/eV per cell. The energy relative to the lowest polymorph listed for this composition comes out at 24 meV/atom.

```
data_YZr2Tc
_chemical_formula_sum 'Y2 Zr4 Tc2'
_space_group_name_H-M_alt 'C m m m'
_space_group_IT_number 65
_space_group_name_Hall '-C 2 2'
_cell_length_a 4.724
_cell_length_b 4.735
_cell_length_c 8.140
_cell_angle_alpha 90.00
_cell_angle_beta 90.00
_cell_angle_gamma 90.00
loop_
_atom_site_label
_atom_site_type_symbol
_atom_site_fract_x
_atom_site_fract_y
_atom_site_fract_z
Y1 Y 0.000 0.000 0.000
Zr1 Zr 0.000 0.500 0.309
Tc1 Tc 0.000 0.000 0.500
```

***

# 4
## KGaSb3 (PBE)

Data for crystalline KGaSb3 at its relaxed geometry.

Computed properties:
The uncorrected formation energy comes out at 5.807 eV/f.u. Its density of states at the Fermi level is 4.99 states/eV per cell. The energy relative to the lowest polymorph listed for this composition comes out at 1303 meV/atom.

```
data_KGaSb3
_chemical_formula_sum 'K1 Ga1 Sb3'
_space_group_name_H-M_alt 'P m -3 m'
_space_group_IT_number 221
_space_group_name_Hall '-P 4 2 3'
_cell_length_a 5.887
_cell_length_b 5.887
_cell_length_c 5.887
_cell_angle_alpha 90.00
_cell_angle_beta 90.00
_cell_angle_gamma 90.00
loop_
_atom_site_label
_atom_site_type_symbol
_atom_site_fract_x
_atom_site_fract_y
_atom_site_fract_z
K1 K 0.000 0.000 0.000
Ga1 Ga 0.500 0.500 0.500
Sb1 Sb 0.000 0.000 0.500
```

***

# 5
## NbSbS2Cl (PBE)

Data for crystalline NbSbS2Cl at its relaxed geometry.

Computed properties:
The uncorrected formation energy comes out at -0.807 eV/f.u. Its density of states at the Fermi level is 5.36 states/eV per cell. The energy relative to the lowest polymorph listed for this composition comes out at 0 meV/atom.

```
data_NbSbS2Cl
_chemical_formula_sum 'Nb1 Sb1 S2 Cl1'
_space_group_name_H-M_alt 'P 4/m m m'
_space_group_IT_number 123
_space_group_name_Hall '-P 4 2'
_cell_length_a 4.870
_cell_length_b 4.870
_cell_length_c 4.806
_cell_angle_alpha 90.00
_cell_angle_beta 90.00
_cell_angle_gamma 90.00
loop_
_atom_site_label
_atom_site_type_symbol
_atom_site_fract_x
_atom_site_fract_y
_atom_site_fract_z
Nb1 Nb 0.000 0.000 0.000
Sb1 Sb 0.500 0.500 0.500
S1 S 0.000 0.500 0.000
Cl1 Cl 0.000 0.000 0.500
```

***

# 6
## LiMnSe2 (PBE)

Data for crystalline LiMnSe2 at its relaxed geometry.

Computed properties:
The uncorrected formation energy comes out at -2.861 eV/f.u. Its density of states at the Fermi level is 4.21 states/eV per cell.

```
data_LiMnSe2
_chemical_formula_sum 'Li3 Mn3 Se6'
_space_group_name_H-M_alt 'R 3 m'
_space_group_IT_number 160
_space_group_name_Hall 'R 3 -2"'
_cell_length_a 3.7127
_cell_length_b 3.7127
_cell_length_c 19.5917
_cell_angle_alpha 90.00
_cell_angle_beta 90.00
_cell_angle_gamma 120.00
loop_
_atom_site_label
_atom_site_type_symbol
_atom_site_fract_x
_atom_site_fract_y
_atom_site_fract_z
Li1 Li 0.0000 0.0000 0.0000
Mn1 Mn 0.0000 0.0000 0.1653
Se1 Se 0.0000 0.0000 0.5728
Se2 Se 0.0000 0.0000 0.7570
```

***

# 7
## LiPm2Te6Pb3 (PBE)

Data for crystalline LiPm2Te6Pb3 at its relaxed geometry.

Computed properties:
The uncorrected formation energy comes out at -9.720 eV/f.u. Its density of states at the Fermi level is 8.83 states/eV per cell.

```
data_LiPm2Te6Pb3
_chemical_formula_sum 'Li2 Pm4 Te12 Pb6'
_space_group_name_H-M_alt 'C 1 2/m 1'
_space_group_IT_number 12
_space_group_name_Hall '-C 2y'
_cell_length_a 19.996
_cell_length_b 4.497
_cell_length_c 9.206
_cell_angle_alpha 90.00
_cell_angle_beta 104.70
_cell_angle_gamma 90.00
loop_
_atom_site_label
_atom_site_type_symbol
_atom_site_fract_x
_atom_site_fract_y
_atom_site_fract_z
Li1 Li 0.000 0.000 0.000
Pm1 Pm 0.166 0.500 0.342
Te1 Te 0.004 0.500 0.239
Te2 Te 0.168 0.000 0.098
Te3 Te 0.170 0.000 0.588
Pb1 Pb 0.000 0.000 0.500
Pb2 Pb 0.160 0.500 0.848
```

***

# 8
## LaNd3DyY (PBE)

Data for crystalline LaNd3DyY at its relaxed geometry.

Computed properties:
The value obtained for the calculated formation energy is 0.023 eV/atom. Its density of states at the Fermi level is 19.86 states/eV per cell.

```
data_LaNd3DyY
_chemical_formula_sum 'La2 Nd6 Dy2 Y2'
_space_group_name_H-M_alt 'P 1 21/m 1'
_space_group_IT_number 11
_space_group_name_Hall '-P 2yb'
_cell_length_a 8.143
_cell_length_b 5.186
_cell_length_c 10.350
_cell_angle_alpha 90.00
_cell_angle_beta 108.58
_cell_angle_gamma 90.00
loop_
_atom_site_label
_atom_site_type_symbol
_atom_site_fract_x
_atom_site_fract_y
_atom_site_fract_z
La1 La 0.170 0.250 0.293
Nd1 Nd 0.169 0.250 0.791
Nd2 Nd 0.169 0.750 0.042
Nd3 Nd 0.171 0.750 0.543
Dy1 Dy 0.500 0.250 0.626
Y1 Y 0.498 0.750 0.875
```

***

no.,uncorrected energy (eV per cell)
1,-66.7
2,-168.5
3,-68.7
4,-10.7
5,-25.1
6,-62.7
7,-102.2
8,-60.3